{
  "formula": "Nd3HoTl3Te8",
  "functional": "GGA-PBE",
  "state": "relaxed",
  "e_form_raw_ev_per_atom": -1.060,
  "n_ef_per_ev_atom": 0.462,
  "density_g_cm3": 6.5,
  "volume_a3_per_fu": 572.68,
  "lattice": [[8.997, -0.001, -0.002], [-4.499, 7.799, -0.030], [-0.001, -5.170, 8.182]],
  "species": ["Tl", "Nd", "Te", "Te", "Te", "Te", "Tl", "Tl", "Te", "Nd", "Te", "Te", "Ho", "Te", "Nd"],
  "fractional_positions": [[0.000, 0.500, 0.000], [0.500, 0.000, 0.500], [0.235, 0.471, 0.718], [0.747, 0.983, 0.718], [0.253, 0.017, 0.282], [0.741, 0.483, 0.724], [0.000, 0.000, 0.000], [0.500, 0.500, 0.000], [0.235, 0.983, 0.718], [0.000, 0.500, 0.500], [0.259, 0.517, 0.276], [0.765, 0.529, 0.282], [0.000, 0.000, 0.500], [0.765, 0.017, 0.282], [0.500, 0.500, 0.500]]
}